# 1
Compound: GdThMgZn
Source: the Alexandria database
Functional: PBE-GGA
Structure: relaxed

- SG = F-43m, No. 216
- energy relative to the elements (eV per atom) = -0.0783

a = 5.272 Å, b = 5.272 Å, c = 5.272 Å
α = 60.00°, β = 60.00°, γ = 60.00°
Positions (direct):
Gd 0.250 0.250 0.250
Zn 0.000 0.000 0.000
Mg 0.500 0.500 0.500
Th 0.750 0.750 0.750

# 2
Compound: CrNi2S
Source: the Alexandria database
Functional: PBE-GGA
Structure: relaxed

- SG = I-42d, No. 122
- ΔE to the lowest computed polymorph (meV/atom) = 0.0
- raw formation energy (kJ/mol of formula units) = 56.0

a = 6.482 Å, b = 6.482 Å, c = 5.130 Å
α = 50.81°, β = 50.81°, γ = 90.00°
Positions (direct):
Cr 0.750 0.250 0.500
Ni 0.375 0.418 0.750
S 0.500 0.500 0.000
Cr 0.000 0.000 0.000
Ni 0.582 0.125 0.250
Ni 0.875 0.832 0.750
Ni 0.168 0.625 0.250
S 0.250 0.750 0.500

# 3
Compound: Mn2TcPd
Source: the Alexandria database
Functional: PBE-GGA
Structure: relaxed

- SG = I-42d, No. 122
- energy relative to the elements (eV per atom) = 0.5395

a = 6.713 Å, b = 6.713 Å, c = 5.463 Å
α = 52.09°, β = 52.09°, γ = 90.00°
Positions (direct):
Pd 0.750 0.250 0.500
Mn 0.140 0.625 0.250
Pd 0.000 0.000 0.000
Tc 0.500 0.500 0.000
Tc 0.250 0.750 0.500
Mn 0.875 0.860 0.750
Mn 0.610 0.125 0.250
Mn 0.375 0.390 0.750

Number 1: N(E_F) 4.0 states/eV per cell, M_tot 7.5 μB/cell, final energy -24.7 eV/cell. Number 2: N(E_F) 4.3 states/eV per cell, M_tot 0.0 μB/cell, final energy -49.5 eV/cell. Number 3: N(E_F) 9.4 states/eV per cell, M_tot 10.2 μB/cell, final energy -63.5 eV/cell.